# 1
The following is a DFT calculation (meta-GGA SCAN) of a PBEsol-optimized structure of KTl2CuBi.

Structure (CIF):
```
data_KTl2CuBi
_chemical_formula_sum 'K1 Tl2 Cu1 Bi1'
_space_group_name_H-M_alt 'P 4/m m m'
_space_group_IT_number 123
_space_group_name_Hall '-P 4 2'
_cell_length_a 6.150
_cell_length_b 6.150
_cell_length_c 4.906
_cell_angle_alpha 90.00
_cell_angle_beta 90.00
_cell_angle_gamma 90.00
loop_
_atom_site_label
_atom_site_type_symbol
_atom_site_fract_x
_atom_site_fract_y
_atom_site_fract_z
K1 K 0.000 0.000 0.000
Tl1 Tl 0.000 0.500 0.500
Cu1 Cu 0.500 0.500 0.000
Bi1 Bi 0.500 0.500 0.500
```

=====

# 2
The following is a DFT calculation (meta-GGA SCAN) of a PBEsol-optimized structure of ScCd2Hg.

Structure (CIF):
```
data_ScCd2Hg
_chemical_formula_sum 'Sc1 Cd2 Hg1'
_space_group_name_H-M_alt 'P 4 m m'
_space_group_IT_number 99
_cell_length_a 3.201
_cell_length_b 3.201
_cell_length_c 8.024
_cell_angle_alpha 90.00
_cell_angle_beta 90.00
_cell_angle_gamma 90.00
loop_
_space_group_symop_operation_xyz
'x,y,z'
'-y,x,z'
'-x,-y,z'
'y,-x,z'
'-x,y,z'
'y,x,z'
'x,-y,z'
'-y,-x,z'
loop_
_atom_site_label
_atom_site_type_symbol
_atom_site_fract_x
_atom_site_fract_y
_atom_site_fract_z
Sc1 Sc 0.000 0.000 0.000
Cd1 Cd 0.000 0.000 0.506
Cd2 Cd 0.500 0.500 0.257
Hg1 Hg 0.500 0.500 0.760
```

=====

# 3
# MoOs2Rh meta-GGA SCAN single point on PBEsol structure
# **Offset from the most stable computed form**: 0.0 meV/atom
data_MoOs2Rh
_chemical_formula_sum 'Mo1 Os2 Rh1'
_space_group_name_H-M_alt 'P 4/m m m'
_space_group_IT_number 123
_space_group_name_Hall '-P 4 2'
_cell_length_a 3.835
_cell_length_b 3.835
_cell_length_c 3.828
_cell_angle_alpha 90.00
_cell_angle_beta 90.00
_cell_angle_gamma 90.00
loop_
_atom_site_label
_atom_site_type_symbol
_atom_site_fract_x
_atom_site_fract_y
_atom_site_fract_z
Mo1 Mo 0.000 0.000 0.000
Os1 Os 0.000 0.500 0.500
Rh1 Rh 0.500 0.500 0.000

=====

| no. | final energy (eV/cell) |
| --- | --- |
| 1 | -245.3 |
| 2 | -144.4 |
| 3 | -212.7 |